No. 1
DyTh5Bi4 | PBE-GGA | relaxed

Results
Calculated total energy in eV/atom: -5.9446
Calculated formation energy in eV per atom: -0.22
Mass density in g/cm³: 10.2

```
DyTh5Bi4
1.0
4.258 0.000 0.000
0.000 8.933 -0.296
-2.129 -1.589 9.321
Bi Th Dy
4 5 1
direct
0.990 0.754 0.979
0.334 0.936 0.668
0.010 0.246 0.021
0.666 0.064 0.332
0.834 0.219 0.669
0.188 0.358 0.375
0.812 0.642 0.625
0.166 0.781 0.331
0.500 0.500 0.000
0.500 0.000 0.000
```

No. 2
DyY3Er5 | PBE-GGA | relaxed

Results
Calculated total energy in eV/atom: -4.8950
Calculated formation energy in eV per atom: 0.31
Mass density in g/cm³: 7.0

```
DyY3Er5
1.0
3.156 9.039 0.346
-3.156 9.039 0.346
0.000 3.997 10.632
Er Y Dy
10 6 2
direct
0.392 0.608 0.250
0.471 0.850 0.490
0.467 0.869 0.788
0.150 0.529 0.010
0.869 0.467 0.288
0.850 0.471 0.990
0.529 0.150 0.510
0.533 0.131 0.212
0.608 0.392 0.750
0.131 0.533 0.712
0.654 0.005 0.869
0.000 0.000 0.500
0.005 0.654 0.369
0.995 0.346 0.631
0.000 0.000 0.000
0.346 0.995 0.131
0.868 0.132 0.250
0.132 0.868 0.750
```